No. 1
Material: Pm2DyAl3Pt4
Method: DFT, PBE
State: relaxed

Calculated values
As for the energy of formation from the pure elements: -1060 meV/atom. The value obtained for the density of states at the Fermi level is 0.62 states/eV/atom. The density comes out at 10.56 Mg/m³.

Cell: 4.358 4.358 10.883 Å, 90.00 90.00 90.00°
Element x y z (fractional)
Pm 0.500 0.000 0.229
Pm 0.000 0.500 0.771
Dy 0.500 0.500 0.500
Al 0.000 0.000 0.500
Al 0.500 0.000 0.883
Al 0.000 0.500 0.117
Pt 0.500 0.500 0.000
Pt 0.000 0.000 0.000
Pt 0.500 0.000 0.655
Pt 0.000 0.500 0.345

No. 2
Material: PmDyAlPt
Method: DFT, PBE
State: relaxed

Calculated values
Its energy above the most stable polymorph in this dataset is 131.2 meV per atom. As for the energy of formation from the pure elements: -675 meV/atom. The value obtained for the density of states at the Fermi level is 0.63 states/eV/atom. The density comes out at 9.37 Mg/m³.

Cell: 5.101 5.101 5.101 Å, 60.00 60.00 60.00°
Element x y z (fractional)
Pm 0.500 0.500 0.500
Al 0.750 0.750 0.750
Pt 0.250 0.250 0.250
Dy 0.000 0.000 0.000

No. 3
Material: PmDyAlPt
Method: DFT, PBE
State: relaxed

Calculated values
Its energy above the most stable polymorph in this dataset is 0.0 meV per atom. As for the energy of formation from the pure elements: -806 meV/atom. The value obtained for the density of states at the Fermi level is 0.66 states/eV/atom. The density comes out at 8.98 Mg/m³.

Cell: 4.310 3.940 6.155 Å, 90.00 110.49 90.00°
Element x y z (fractional)
Pm 0.845 0.500 0.690
Dy 0.135 0.000 0.270
Al 0.437 0.000 0.874
Pt 0.583 0.500 0.166

Looking at final energy for the records above, in order, we have -6.01; -5.46; -5.59 eV/atom.